# 1
Here is an optimized crystal structure of HoLu2Se from the Alexandria database. Energies are from PBE-GGA.

Cell and atoms, written as extended XYZ:
```
4
Lattice="-0.3798 -3.5081 -0.2311 3.4695 -0.4115 0.5453 -1.3524 -0.4004 8.3023" Properties=species:S:1:pos:R:3 pbc="T T T"
Lu -1.0678 -0.3162 6.5551
Lu -0.2846 -0.0843 1.7472
Ho 0.8687 -2.1600 4.3083
Se 1.5449 -1.9598 0.1571
```

Summary:
Magnetization   0.00 μB per formula unit
ΔE to the lowest computed polymorph   0.00 eV per formula unit
Formation energy from raw total energies   -0.65 eV per atom
Crystal system   tetragonal
Density of states at the Fermi level   1.121 states/eV/atom

***

# 2
Here is an optimized crystal structure of NaInGa2Cu from the Alexandria database. Energies are from PBE-GGA.

Cell and atoms, written as extended XYZ:
```
5
Lattice="-0.4967 -2.2896 -4.1721 -0.2085 -4.1802 2.3189 -5.1254 0.4555 0.3602" Properties=species:S:1:pos:R:3 pbc="T T T"
Na -2.9153 -3.0072 -0.7465
Cu 0.0000 0.0000 0.0000
Ga -0.1043 -2.0901 1.1595
Ga -0.2483 -1.1448 -2.0860
In -2.5627 0.2277 0.1801
```

Summary:
Magnetization   0.00 μB per formula unit
Crystal system   tetragonal
Energy of formation from the pure elements   0.07 eV/atom
Density of states at the Fermi level   0.506 states/eV/atom